Computed, not measured: a relaxed Ca2MgCd2 crystal at the PBE-GGA level of DFT.

Results
V: 31.58 A^3/atom
total moment: 0.00 μB/f.u.
formation enthalpy at 0 K: -0.05 eV per atom
space group: I4/mmm, No. 139
raw total energy: -7.67 eV per cell
energy above the most stable polymorph in this dataset: 218 meV per atom
theoretical density: 3463 kg/m3

Cell: 4.134 4.134 9.690 Å, 77.68 77.68 90.00°
Atoms (fractional coordinates):
Ca1 0.396 0.396 0.209
Ca2 0.604 0.604 0.791
Mg1 0.000 0.000 0.000
Cd1 0.750 0.250 0.500
Cd2 0.250 0.750 0.500

=====

Computed, not measured: a relaxed CaMg2Cd crystal at the PBE-GGA level of DFT.

Results
V: 27.57 A^3/atom
total moment: 0.00 μB/f.u.
formation enthalpy at 0 K: 0.01 eV per atom
space group: R3m, No. 160
raw total energy: -6.07 eV per cell
theoretical density: 3029 kg/m3

Cell: 10.208 10.208 10.208 Å, 20.13 20.13 20.13°
Atoms (fractional coordinates):
Ca1 0.496 0.496 0.496
Cd1 0.744 0.744 0.744
Mg1 0.003 0.003 0.003
Mg2 0.256 0.256 0.256

=====

Computed, not measured: a relaxed Ca2Mg3Cd4 crystal at the PBE-GGA level of DFT.

Results
V: 25.49 A^3/atom
total moment: 0.00 μB/f.u.
formation enthalpy at 0 K: -0.21 eV per atom
space group: Cmce, No. 64
raw total energy: -28.73 eV per cell
energy above the most stable polymorph in this dataset: 4 meV per atom
theoretical density: 4363 kg/m3

Cell: 6.291 8.332 9.301 Å, 90.00 109.77 90.00°
Atoms (fractional coordinates):
Ca1 0.099 0.601 0.198
Ca2 0.901 0.399 0.802
Ca3 0.401 0.101 0.802
Ca4 0.599 0.899 0.198
Mg1 0.000 0.000 0.000
Mg2 0.500 0.500 0.000
Mg3 0.513 0.750 0.526
Mg4 0.987 0.250 0.474
Mg5 0.487 0.250 0.474
Mg6 0.013 0.750 0.526
Cd1 0.682 0.750 0.864
Cd2 0.818 0.250 0.136
Cd3 0.318 0.250 0.136
Cd4 0.182 0.750 0.864
Cd5 0.169 0.981 0.338
Cd6 0.831 0.019 0.662
Cd7 0.331 0.481 0.662
Cd8 0.669 0.519 0.338

=====

Computed, not measured: a relaxed Ca2Mg5Cd4 crystal at the PBE-GGA level of DFT.

Results
V: 25.14 A^3/atom
total moment: 0.00 μB/f.u.
formation enthalpy at 0 K: -0.16 eV per atom
space group: Immm, No. 71
raw total energy: -17.40 eV per cell
theoretical density: 3911 kg/m3

Cell: 5.996 7.433 7.433 Å, 76.86 66.21 66.21°
Atoms (fractional coordinates):
Ca1 0.295 0.705 0.705
Ca2 0.705 0.295 0.295
Mg1 0.247 0.187 0.814
Mg2 0.753 0.813 0.186
Mg3 0.000 0.500 0.500
Mg4 0.752 0.187 0.814
Mg5 0.248 0.813 0.186
Cd1 0.244 0.092 0.419
Cd2 0.756 0.908 0.581
Cd3 0.756 0.580 0.908
Cd4 0.244 0.420 0.092